DFT (GGA+U) results for a geometry-optimized MnZnC2O6 structure.

Cell lengths 5.8787, 5.8787, 5.8787 Å; angles 47.97, 47.97, 47.97 degrees
Fractional coordinates of all 10 atoms:
1 Mn 0.0000 0.0000 0.0000
2 Zn 0.5000 0.5000 0.5000
3 C 0.2471 0.2471 0.2471
4 C 0.7529 0.7529 0.7529
5 O 0.0276 0.4844 0.7446
6 O 0.2554 0.9724 0.5156
7 O 0.4844 0.7446 0.0276
8 O 0.5156 0.2554 0.9724
9 O 0.7446 0.0276 0.4844
10 O 0.9724 0.5156 0.2554

Results
raw total energy	-7.191	eV per atom